Below is an optimized crystal structure of SrZrHg, with properties calculated at the PBE level.

POSCAR file:
```
SrZrHg
1.0
-2.7147 0.1066 -4.3738
0.7268 -3.6380 -3.5705
-3.6459 -3.5340 -0.8539
Hg Sr Zr
1 1 1
direct
0.2500 0.2500 0.2500
0.0000 0.0000 0.0000
0.5000 0.5000 0.5000
```

Output
symmetry: No. 216
ΔE_f: 398 meV per atom
polymorph energy (0 for the lowest one): 500 meV/atom